This record from the Alexandria database describes a relaxed structure of U4InS8. The functional is PBE.

a b c (Å): 8.148 8.148 8.148
angles (deg): 60.00 60.00 60.00
Fractional coordinates of all 13 atoms:
U1 0.123 0.123 0.123
U2 0.123 0.123 0.631
U3 0.123 0.631 0.123
U4 0.631 0.123 0.123
In1 0.500 0.500 0.500
S1 0.333 0.889 0.889
S2 0.359 0.359 0.359
S3 0.359 0.359 0.922
S4 0.359 0.922 0.359
S5 0.889 0.333 0.889
S6 0.889 0.889 0.333
S7 0.889 0.889 0.889
S8 0.922 0.359 0.359

Results
space-group type	F-43m (216)
electronic total energy	-7.44	eV per atom

=====

This record from the Alexandria database describes a relaxed structure of InPd. The functional is PBE.

a b c (Å): 6.703 6.703 3.059
angles (deg): 90.00 90.00 120.00
Fractional coordinates of all 6 atoms:
In1 0.000 0.403 0.000
In2 0.403 0.000 0.000
In3 0.597 0.597 0.000
Pd1 0.000 0.746 0.500
Pd2 0.254 0.254 0.500
Pd3 0.746 0.000 0.500

Results
space-group type	P-62m (189)
ΔH_f (0 K)	-409	meV/atom

=====

This record from the Alexandria database describes a relaxed structure of CeThAgGe. The functional is PBE.

a b c (Å): 5.220 5.220 5.220
angles (deg): 60.00 60.00 60.00
Fractional coordinates of all 4 atoms:
Ce1 0.000 0.000 0.000
Th1 0.500 0.500 0.500
Ag1 0.250 0.250 0.250
Ge1 0.750 0.750 0.750

Results
space-group type	F-43m (216)
ΔH_f (0 K)	-313	meV/atom